The following is a PBE with a Hubbard U calculation of a relaxed ScVCr2O6 crystal, from Alexandria.

Output
density of states at the Fermi level	0.00	states/eV/cell
calculated total energy	-82.18	eV/cell

The structure in CIF format:
```
data_ScVCr2O6
_chemical_formula_sum 'Sc1 V1 Cr2 O6'
_cell_length_a 5.527
_cell_length_b 5.527
_cell_length_c 5.527
_cell_angle_alpha 55.87
_cell_angle_beta 55.87
_cell_angle_gamma 55.87
_symmetry_space_group_name_H-M 'P 1'
_symmetry_Int_Tables_number 1
loop_
_symmetry_equiv_pos_as_xyz
'x,y,z'
loop_
_atom_site_label
_atom_site_fract_x
_atom_site_fract_y
_atom_site_fract_z
Sc1 0.000 0.000 0.000
V1 0.507 0.507 0.507
Cr1 0.206 0.206 0.206
Cr2 0.710 0.710 0.710
O1 0.104 0.419 0.809
O2 0.321 0.914 0.592
O3 0.419 0.809 0.104
O4 0.592 0.321 0.914
O5 0.809 0.104 0.419
O6 0.914 0.592 0.321
```